# 1
A plane-wave DFT calculation with PBE was carried out for crystalline Y3Ho3Th2 at its relaxed geometry.

Cell: 5.0304 5.0316 10.7172 Å, 103.59 103.57 90.00°
With the nearest neighbours (Å) after each atom.
Fractional positions:
Y1 0.6272 0.6272 0.2545  4 Th 3.53, 6 Ho 3.56-3.60, 2 Y 3.60
Y2 0.3728 0.3728 0.7455  4 Th 3.53, 6 Ho 3.56-3.60, 2 Y 3.60
Y3 0.5000 0.0000 0.0000  8 Ho 3.56-3.61, 4 Y 3.60
Ho1 0.1278 0.1278 0.2556  4 Th 3.52-3.53, 6 Y 3.56-3.61, 2 Ho 3.61
Ho2 0.0000 0.5000 0.0000  8 Y 3.56-3.60, 4 Ho 3.61
Ho3 0.8722 0.8722 0.7444  4 Th 3.52-3.53, 6 Y 3.56-3.61, 2 Ho 3.61
Th1 0.7499 0.2499 0.4998  4 Ho 3.52-3.53, 4 Y 3.53, 4 Th 3.56
Th2 0.2501 0.7501 0.5002  4 Ho 3.52-3.53, 4 Y 3.53, 4 Th 3.56

- DFT formation energy (eV/atom) = 0.03
- ΔE to the lowest computed polymorph (eV/f.u.) = 0.00
- space group = Immm, No. 71


# 2
A plane-wave DFT calculation with PBE was carried out for crystalline Mn2RhBr at its relaxed geometry.

Cell: 3.1966 3.1966 7.0831 Å, 90.00 90.00 90.00°
With the nearest neighbours (Å) after each atom.
Fractional positions:
Br1 0.5000 0.5000 0.7500  8 Mn 3.07, 4 Br 3.20
Mn1 0.0000 0.0000 0.0425  4 Rh 2.70, 1 Mn 2.94
Mn2 0.0000 0.0000 0.4575  4 Rh 2.70, 1 Mn 2.94
Rh1 0.5000 0.5000 0.2500  8 Mn 2.70

- ΔE to the lowest computed polymorph (eV/f.u.) = 0.24
- formation energy without anion corrections (eV/atom) = 0.10
- space group = P4/mmm, No. 123


# 3
A plane-wave DFT calculation with PBE was carried out for crystalline PrTh2Ag at its relaxed geometry.

Cell: 3.6153 3.6153 11.0583 Å, 80.59 80.59 60.00°
With the nearest neighbours (Å) after each atom.
Fractional positions:
Pr1 0.5000 0.5000 0.5000  6 Pr 3.62, 6 Th 3.64
Ag1 0.0000 0.0000 0.0000  6 Th 3.22
Th1 0.2583 0.2583 0.2252  3 Ag 3.22
Th2 0.7417 0.7417 0.7748  3 Ag 3.22

- DFT formation energy (eV/atom) = 0.11
- ΔE to the lowest computed polymorph (eV/f.u.) = 0.27
- space group = R-3m, No. 166


# 4
A plane-wave DFT calculation with PBE was carried out for crystalline Zn2In at its relaxed geometry.

Cell: 5.9787 5.9787 5.9787 Å, 129.87 129.87 73.62°
With the nearest neighbours (Å) after each atom.
Fractional positions:
Zn1 0.8195 0.3195 0.1390  5 Zn 2.59-2.63
Zn2 0.1805 0.6805 0.8610  5 Zn 2.59-2.63
Zn3 0.3195 0.1805 0.5000  5 Zn 2.59-2.63
Zn4 0.6805 0.8195 0.5000  5 Zn 2.59-2.63
In1 0.7500 0.7500 0.0000  8 Zn 3.03
In2 0.2500 0.2500 0.0000  8 Zn 3.03

- DFT formation energy (eV/atom) = 0.09
- space group = I4/mcm, No. 140


# 5
A plane-wave DFT calculation with PBE was carried out for crystalline MnReSe at its relaxed geometry.

Cell: 4.1493 4.1493 4.1493 Å, 60.00 60.00 60.00°
With the nearest neighbours (Å) after each atom.
Fractional positions:
Mn1 0.5000 0.5000 0.5000  4 Re 2.54
Re1 0.7500 0.7500 0.7500  4 Se 2.54, 4 Mn 2.54
Se1 0.0000 0.0000 0.0000  4 Re 2.54

- ΔE to the lowest computed polymorph (eV/f.u.) = 0.26
- formation energy without anion corrections (eV/atom) = 0.41
- space group = F-43m, No. 216


# 6
A plane-wave DFT calculation with PBE was carried out for crystalline Sr2CeSnO6 at its relaxed geometry.

Cell: 6.0411 6.0411 6.0411 Å, 60.00 60.00 60.00°
With the nearest neighbours (Å) after each atom.
Fractional positions:
Sr1 0.2500 0.2500 0.2500  12 O 3.02
Sr2 0.7500 0.7500 0.7500  12 O 3.02
Ce1 0.0000 0.0000 0.0000  6 O 2.20
Sn1 0.5000 0.5000 0.5000  6 O 2.07
O1 0.2581 0.7419 0.2581  1 Sn 2.07, 1 Ce 2.20
O2 0.7419 0.2581 0.7419  1 Sn 2.07, 1 Ce 2.20
O3 0.7419 0.7419 0.2581  1 Sn 2.07, 1 Ce 2.20
O4 0.2581 0.2581 0.7419  1 Sn 2.07, 1 Ce 2.20
O5 0.2581 0.7419 0.7419  1 Sn 2.07, 1 Ce 2.20
O6 0.7419 0.2581 0.2581  1 Sn 2.07, 1 Ce 2.20

- ΔE to the lowest computed polymorph (eV/f.u.) = 0.79
- formation energy without anion corrections (eV/atom) = -2.64
- space group = Fm-3m, No. 225


# 7
A plane-wave DFT calculation with PBE was carried out for crystalline Ba7Ag2Au2 at its relaxed geometry.

Cell: 7.9728 8.1528 7.9728 Å, 90.00 103.91 90.00°
With the nearest neighbours (Å) after each atom.
Fractional positions:
Ba1 0.0000 0.2611 0.5000  2 Au 3.27
Ba2 0.5000 0.7389 0.0000  2 Au 3.27
Ba3 0.0000 0.7389 0.5000  2 Au 3.27
Ba4 0.5000 0.2611 0.0000  2 Au 3.27
Ba5 0.0000 0.0000 0.0000  2 Au 3.50
Ba6 0.5000 0.7517 0.5000  2 Au 3.44, 2 Ag 3.49
Ba7 0.5000 0.2483 0.5000  2 Au 3.44, 2 Ag 3.49
Ag1 0.7871 0.5000 0.7871  6 Ba 3.49-3.71
Ag2 0.2129 0.5000 0.2129  6 Ba 3.49-3.71
Au1 0.7213 0.0000 0.2787  7 Ba 3.27-3.50
Au2 0.2787 0.0000 0.7213  7 Ba 3.27-3.50

- DFT formation energy (eV/atom) = -0.27
- ΔE to the lowest computed polymorph (eV/f.u.) = 0.97
- space group = Cmmm, No. 65


# 8
A plane-wave DFT calculation with PBE was carried out for crystalline LaBeRh2 at its relaxed geometry.

Cell: 3.0749 3.0749 6.8878 Å, 90.00 90.00 90.19°
With the nearest neighbours (Å) after each atom.
Fractional positions:
Be1 0.5000 0.5000 0.2500  8 Rh 2.54
Rh1 0.0000 0.0000 0.0597  4 Be 2.54, 1 Rh 2.62
Rh2 0.0000 0.0000 0.4403  4 Be 2.54, 1 Rh 2.62
La1 0.5000 0.5000 0.7500  8 Rh 3.04-3.05, 4 La 3.07

- DFT formation energy (eV/atom) = -0.34
- space group = Cmmm, No. 65


Which DOS at the Fermi energy belongs to each record? In order, 9.144 1.075 4.491 2.009 2.169 0.000 9.004 2.487 states/eV per cell.
Which calculated total energy belongs to each record? In order, -47.8 -27.0 -22.0 -10.0 -23.9 -69.5 -28.7 -24.7 eV for the cell shown.